## P
# Th3Ge4Rh2 PBE relaxed
# Crystal system: monoclinic
data_Th3Ge4Rh2
_chemical_formula_sum 'Th6 Ge8 Rh4'
_cell_length_a 11.097
_cell_length_b 4.379
_cell_length_c 8.329
_cell_angle_alpha 90.00
_cell_angle_beta 103.25
_cell_angle_gamma 90.00
_space_group_name_H-M_alt 'C 1 2/m 1'
_space_group_IT_number 12
loop_
_space_group_symop_operation_xyz
'x,y,z'
'-x,-y,-z'
'-x,y,-z'
'x,-y,z'
'x+1/2,y+1/2,z'
'-x+1/2,-y+1/2,-z'
'-x+1/2,y+1/2,-z'
'x+1/2,-y+1/2,z'
loop_
_atom_site_label
_atom_site_fract_x
_atom_site_fract_y
_atom_site_fract_z
Th1 0.000 0.000 0.000
Th2 0.163 0.500 0.659
Ge1 0.063 0.000 0.391
Ge2 0.230 0.500 0.074
Rh1 0.096 0.500 0.272

## Q
# Th3Ge4Rh2 PBE relaxed
# Crystal system: monoclinic
data_Th3Ge4Rh2
_chemical_formula_sum 'Th6 Ge8 Rh4'
_cell_length_a 11.053
_cell_length_b 4.367
_cell_length_c 8.465
_cell_angle_alpha 90.00
_cell_angle_beta 108.62
_cell_angle_gamma 90.00
_space_group_name_H-M_alt 'C 1 2/m 1'
_space_group_IT_number 12
loop_
_space_group_symop_operation_xyz
'x,y,z'
'-x,-y,-z'
'-x,y,-z'
'x,-y,z'
'x+1/2,y+1/2,z'
'-x+1/2,-y+1/2,-z'
'-x+1/2,y+1/2,-z'
'x+1/2,-y+1/2,z'
loop_
_atom_site_label
_atom_site_fract_x
_atom_site_fract_y
_atom_site_fract_z
Th1 0.000 0.000 0.000
Th2 0.127 0.500 0.691
Ge1 0.086 0.000 0.391
Ge2 0.212 0.500 0.071
Rh1 0.193 0.500 0.366

Energetically preferred structure: P | next structure: +46 meV/atom

## P
# Th2Ge3Rh5 PBE relaxed
# Crystal system: orthorhombic
data_Th2Ge3Rh5
_chemical_formula_sum 'Th8 Ge12 Rh20'
_cell_length_a 4.166
_cell_length_b 25.321
_cell_length_c 6.809
_cell_angle_alpha 90.00
_cell_angle_beta 90.00
_cell_angle_gamma 90.00
_space_group_name_H-M_alt 'C m c 21'
_space_group_IT_number 36
loop_
_space_group_symop_operation_xyz
'x,y,z'
'-x,-y,z+1/2'
'-x,y,z'
'x,-y,z+1/2'
'x+1/2,y+1/2,z'
'-x+1/2,-y+1/2,z+1/2'
'-x+1/2,y+1/2,z'
'x+1/2,-y+1/2,z+1/2'
loop_
_atom_site_label
_atom_site_fract_x
_atom_site_fract_y
_atom_site_fract_z
Th1 0.000 0.024 0.000
Th2 0.000 0.324 0.962
Ge1 0.000 0.125 0.781
Ge2 0.000 0.281 0.431
Ge3 0.000 0.451 0.815
Rh1 0.000 0.100 0.344
Rh2 0.000 0.198 0.152
Rh3 0.000 0.223 0.726
Rh4 0.000 0.380 0.539
Rh5 0.000 0.445 0.184

## Q
# Th2Ge3Rh5 PBE relaxed
# Crystal system: orthorhombic
data_Th2Ge3Rh5
_chemical_formula_sum 'Th8 Ge12 Rh20'
_cell_length_a 11.007
_cell_length_b 11.352
_cell_length_c 5.889
_cell_angle_alpha 90.00
_cell_angle_beta 90.00
_cell_angle_gamma 90.00
_space_group_name_H-M_alt 'I b a m'
_space_group_IT_number 72
_space_group_name_Hall '-I 2 2c'
loop_
_atom_site_label
_atom_site_fract_x
_atom_site_fract_y
_atom_site_fract_z
Th1 0.132 0.226 0.000
Ge1 0.000 0.500 0.250
Ge2 0.140 0.110 0.500
Rh1 0.000 0.000 0.250
Rh2 0.102 0.322 0.500
Rh3 0.225 0.500 0.250

Energetically preferred structure: Q | next structure: +76 meV/atom

## P
# Ti2GeRh2 PBE relaxed
# Crystal system: tetragonal
data_Ti2GeRh2
_chemical_formula_sum 'Ti4 Ge2 Rh4'
_cell_length_a 7.412
_cell_length_b 7.412
_cell_length_c 2.936
_cell_angle_alpha 90.00
_cell_angle_beta 90.00
_cell_angle_gamma 90.00
_space_group_name_H-M_alt 'P 4/m b m'
_space_group_IT_number 127
_space_group_name_Hall '-P 4 2ab'
loop_
_atom_site_label
_atom_site_fract_x
_atom_site_fract_y
_atom_site_fract_z
Ti1 0.158 0.342 0.000
Ge1 0.000 0.000 0.000
Rh1 0.136 0.636 0.500

## Q
# Ti2GeRh2 PBE relaxed
# Crystal system: monoclinic
data_Ti2GeRh2
_chemical_formula_sum 'Ti4 Ge2 Rh4'
_cell_length_a 8.884
_cell_length_b 4.180
_cell_length_c 5.373
_cell_angle_alpha 90.00
_cell_angle_beta 127.07
_cell_angle_gamma 90.00
_space_group_name_H-M_alt 'C 1 2/m 1'
_space_group_IT_number 12
loop_
_space_group_symop_operation_xyz
'x,y,z'
'-x,-y,-z'
'-x,y,-z'
'x,-y,z'
'x+1/2,y+1/2,z'
'-x+1/2,-y+1/2,-z'
'-x+1/2,y+1/2,-z'
'x+1/2,-y+1/2,z'
loop_
_atom_site_label
_atom_site_fract_x
_atom_site_fract_y
_atom_site_fract_z
Ti1 0.197 0.000 0.197
Ge1 0.000 0.000 0.500
Rh1 0.000 0.500 0.237

## R
# Ti2GeRh2 PBE relaxed
# Crystal system: tetragonal
data_Ti2GeRh2
_chemical_formula_sum 'Ti4 Ge2 Rh4'
_cell_length_a 7.261
_cell_length_b 7.261
_cell_length_c 2.981
_cell_angle_alpha 90.00
_cell_angle_beta 90.00
_cell_angle_gamma 90.00
_space_group_name_H-M_alt 'P 4/m b m'
_space_group_IT_number 127
_space_group_name_Hall '-P 4 2ab'
loop_
_atom_site_label
_atom_site_fract_x
_atom_site_fract_y
_atom_site_fract_z
Ti1 0.166 0.334 0.000
Ge1 0.000 0.000 0.500
Rh1 0.133 0.633 0.500

Energetically preferred structure: R | next structure: +23 meV/atom

## P
# TlGe2Rh2 PBE relaxed
# Crystal system: tetragonal
data_TlGe2Rh2
_chemical_formula_sum 'Tl2 Ge4 Rh4'
_cell_length_a 4.324
_cell_length_b 4.324
_cell_length_c 10.064
_cell_angle_alpha 90.00
_cell_angle_beta 90.00
_cell_angle_gamma 90.00
_space_group_name_H-M_alt 'I 4/m m m'
_space_group_IT_number 139
_space_group_name_Hall '-I 4 2'
loop_
_atom_site_label
_atom_site_fract_x
_atom_site_fract_y
_atom_site_fract_z
Tl1 0.000 0.000 0.000
Ge1 0.000 0.000 0.370
Rh1 0.000 0.500 0.250

## Q
# TlGe2Rh2 PBE relaxed
# Crystal system: tetragonal
data_TlGe2Rh2
_chemical_formula_sum 'Tl2 Ge4 Rh4'
_cell_length_a 3.831
_cell_length_b 3.831
_cell_length_c 12.300
_cell_angle_alpha 90.00
_cell_angle_beta 90.00
_cell_angle_gamma 90.00
_space_group_name_H-M_alt 'I 4/m m m'
_space_group_IT_number 139
_space_group_name_Hall '-I 4 2'
loop_
_atom_site_label
_atom_site_fract_x
_atom_site_fract_y
_atom_site_fract_z
Tl1 0.000 0.000 0.000
Ge1 0.000 0.500 0.250
Rh1 0.000 0.000 0.380

## R
# TlGe2Rh2 PBE relaxed
# Crystal system: tetragonal
data_TlGe2Rh2
_chemical_formula_sum 'Tl2 Ge4 Rh4'
_cell_length_a 7.657
_cell_length_b 7.657
_cell_length_c 2.941
_cell_angle_alpha 90.00
_cell_angle_beta 90.00
_cell_angle_gamma 90.00
_space_group_name_H-M_alt 'P 4/m b m'
_space_group_IT_number 127
_space_group_name_Hall '-P 4 2ab'
loop_
_atom_site_label
_atom_site_fract_x
_atom_site_fract_y
_atom_site_fract_z
Tl1 0.000 0.000 0.000
Ge1 0.145 0.355 0.500
Rh1 0.142 0.642 0.000

Energetically preferred structure: P | next structure: +59 meV/atom